# MnCdSO (PBE with a Hubbard U, relaxed)
data_MnCdSO
_cell_length_a 3.8302
_cell_length_b 3.8302
_cell_length_c 18.8088
_cell_angle_alpha 90.00
_cell_angle_beta 90.00
_cell_angle_gamma 120.00
_symmetry_space_group_name_H-M 'R 3 m'
_symmetry_Int_Tables_number 160
_symmetry_space_group_name_Hall 'R 3 -2"'
loop_
_atom_site_label
_atom_site_fract_x
_atom_site_fract_y
_atom_site_fract_z
_atom_site_occupancy
Mn1 0.0000 0.0000 0.0000 1
Cd1 0.0000 0.0000 0.4779 1
S1 0.0000 0.0000 0.6130 1
O1 0.0000 0.0000 0.1083 1
# theoretical density	4.49	g/cm³
# total energy	-5.280	eV/atom
# spin magnetization	5.0	μB/f.u.